A relaxed structure of TiReO3, computed with GGA-PBEsol.

Properties
The calculation puts the formation energy without anion corrections at -0.91 eV per atom. Its magnetization is 4.9 Bohr magnetons per cell. Its uncorrected energy is -8.387 eV per atom.

a = 3.858 Å, b = 3.858 Å, c = 3.858 Å
α = 90.00°, β = 90.00°, γ = 90.00°
Positions (direct):
Re 0.500 0.500 0.500
O 0.000 0.500 0.000
O 0.000 0.000 0.500
O 0.500 0.000 0.000
Ti 0.000 0.000 0.000